The following is a PBE calculation of a relaxed CeSm2Ni6 crystal, from Alexandria.

abc: 7.0529 7.0529 3.7404
angles: 90.00 90.00 120.00
Sites, in units of the cell vectors:
Ce (0.0000, 0.0000, 0.0000)
Sm (0.3333, 0.6667, 0.0000)
Sm (0.6667, 0.3333, 0.0000)
Ni (0.0000, 0.3318, 0.5000)
Ni (0.0000, 0.6682, 0.5000)
Ni (0.3318, 0.0000, 0.5000)
Ni (0.3318, 0.3318, 0.5000)
Ni (0.6682, 0.0000, 0.5000)
Ni (0.6682, 0.6682, 0.5000)

Results
Fermi-level density of states (states/eV/f.u.): 15.74
Theoretical density (Mg/m³): 8.2
Energy of formation (eV/f.u.): -2.9
Uncorrected energy (eV per atom): -5.886
Total magnetic moment (μB/atom): 0.093

The following is a PBE calculation of a relaxed Ho8Sn5Bi crystal, from Alexandria.

abc: 8.0238 8.0238 8.0238
angles: 109.45 109.45 109.52
Sites, in units of the cell vectors:
Ho (0.1289, 0.2305, 0.7535)
Ho (0.1311, 0.7391, 0.7531)
Ho (0.2609, 0.0140, 0.3919)
Ho (0.4770, 0.3754, 0.2465)
Ho (0.6220, 0.8689, 0.6081)
Ho (0.6246, 0.8711, 0.1016)
Ho (0.7695, 0.5230, 0.8984)
Ho (0.9860, 0.3780, 0.2469)
Sn (0.0000, 0.0000, 0.0000)
Sn (0.2512, 0.6277, 0.1234)
Sn (0.3723, 0.4957, 0.6236)
Sn (0.5043, 0.1279, 0.8766)
Sn (0.8721, 0.7488, 0.3764)
Bi (0.7500, 0.2500, 0.5000)

Results
Fermi-level density of states (states/eV/f.u.): 8.25
Theoretical density (Mg/m³): 8.9
Energy of formation (eV/f.u.): -10.1
Uncorrected energy (eV per atom): -5.042
Total magnetic moment (μB/atom): 0.000

The following is a PBE calculation of a relaxed In3SnBr6 crystal, from Alexandria.

abc: 10.0637 10.0637 7.8174
angles: 90.00 90.00 102.64
Sites, in units of the cell vectors:
In (0.0509, 0.9491, 0.5000)
In (0.2003, 0.4476, 0.5743)
In (0.4476, 0.2003, 0.0743)
In (0.5524, 0.7997, 0.5743)
In (0.7997, 0.5524, 0.0743)
In (0.9491, 0.0509, 0.0000)
Sn (0.3439, 0.6561, 0.0926)
Sn (0.6561, 0.3439, 0.5926)
Br (0.1034, 0.5723, 0.9246)
Br (0.1511, 0.1700, 0.2601)
Br (0.1700, 0.1511, 0.7601)
Br (0.2239, 0.7761, 0.4327)
Br (0.4277, 0.8966, 0.9246)
Br (0.4763, 0.5237, 0.8451)
Br (0.5237, 0.4763, 0.3451)
Br (0.5723, 0.1034, 0.4246)
Br (0.7761, 0.2239, 0.9327)
Br (0.8300, 0.8489, 0.2601)
Br (0.8489, 0.8300, 0.7601)
Br (0.8966, 0.4277, 0.4246)

Results
Fermi-level density of states (states/eV/f.u.): 4.46
Offset from the most stable computed form (meV per atom): 4
Raw formation energy (eV/f.u.): -6.549
Theoretical density (Mg/m³): 4.1
Uncorrected energy (eV per atom): -2.880
Total magnetic moment (μB/atom): 0.000

The following is a PBE calculation of a relaxed CaTcPt2 crystal, from Alexandria.

abc: 2.8936 2.8936 8.2080
angles: 90.00 90.00 90.00
Sites, in units of the cell vectors:
Ca (0.0000, 0.0000, 0.0000)
Tc (0.0000, 0.0000, 0.5000)
Pt (0.5000, 0.5000, 0.2782)
Pt (0.5000, 0.5000, 0.7218)

Results
Fermi-level density of states (states/eV/f.u.): 2.95
Offset from the most stable computed form (meV per atom): 0
Theoretical density (Mg/m³): 12.8
Energy of formation (eV/f.u.): -1.2
Uncorrected energy (eV per atom): -6.404
Total magnetic moment (μB/atom): 0.000